No. 1
The following is a PBE-GGA calculation of crystalline In6Ag2Sn at its relaxed geometry, from the Alexandria database.

a = 4.934 Å, b = 4.934 Å, c = 12.072 Å
α = 102.24°, β = 102.24°, γ = 57.43°
Element x y z (fractional)
In: 0.115 0.115 0.273
In: 0.176 0.176 0.574
In: 0.371 0.371 0.115
In: 0.629 0.629 0.885
In: 0.824 0.824 0.426
In: 0.885 0.885 0.727
Ag: 0.482 0.482 0.369
Ag: 0.518 0.518 0.631
Sn: 0.000 0.000 0.000

Output
final energy	-0.211	Ry per atom
energy of formation	0.0393	eV per atom
D(E_F)	3.16	states/eV/cell
mass density	7.07	g cm⁻³

No. 2
The following is a PBE-GGA calculation of crystalline NaCdAgHg at its relaxed geometry, from the Alexandria database.

a = 4.986 Å, b = 4.986 Å, c = 4.986 Å
α = 60.00°, β = 60.00°, γ = 60.00°
Element x y z (fractional)
Na: 0.000 0.000 0.000
Cd: 0.500 0.500 0.500
Ag: 0.750 0.750 0.750
Hg: 0.250 0.250 0.250

Output
final energy	-0.104	Ry per atom
energy of formation	-0.0732	eV per atom
polymorph energy (0 for the lowest one)	0	meV per atom
D(E_F)	2.36	states/eV/cell
mass density	8.41	g cm⁻³

No. 3
The following is a PBE-GGA calculation of crystalline HoSc5Sn3 at its relaxed geometry, from the Alexandria database.

a = 8.801 Å, b = 8.801 Å, c = 6.265 Å
α = 90.00°, β = 90.00°, γ = 120.00°
Element x y z (fractional)
Ho: 0.000 0.000 0.000
Ho: 0.000 0.000 0.500
Sc: 0.000 0.336 0.250
Sc: 0.000 0.664 0.750
Sc: 0.333 0.667 0.000
Sc: 0.333 0.667 0.500
Sc: 0.336 0.000 0.250
Sc: 0.336 0.336 0.750
Sc: 0.664 0.000 0.750
Sc: 0.664 0.664 0.250
Sc: 0.667 0.333 0.000
Sc: 0.667 0.333 0.500
Sn: 0.000 0.335 0.750
Sn: 0.000 0.665 0.250
Sn: 0.335 0.000 0.750
Sn: 0.335 0.335 0.250
Sn: 0.665 0.000 0.250
Sn: 0.665 0.665 0.750

Output
final energy	-0.435	Ry per atom
energy of formation	-0.5599	eV per atom
D(E_F)	19.34	states/eV/cell
mass density	5.89	g cm⁻³

No. 4
The following is a PBE-GGA calculation of crystalline LiPtI at its relaxed geometry, from the Alexandria database.

a = 4.609 Å, b = 4.877 Å, c = 6.671 Å
α = 103.65°, β = 90.02°, γ = 90.01°
Element x y z (fractional)
Li: 0.000 0.000 0.000
Li: 0.500 0.321 0.596
Pt: 0.000 0.278 0.407
Pt: 0.500 0.030 0.191
I: 0.002 0.826 0.558
I: 0.502 0.481 0.038

Output
final energy	-0.256	Ry per atom
polymorph energy (0 for the lowest one)	265	meV per atom
D(E_F)	0.00	states/eV/cell
formation energy without anion corrections	-31	kJ per mole of atoms
mass density	7.50	g cm⁻³

No. 5
The following is a PBE-GGA calculation of crystalline ScGeI2N at its relaxed geometry, from the Alexandria database.

a = 5.899 Å, b = 5.899 Å, c = 3.914 Å
α = 90.00°, β = 90.00°, γ = 90.00°
Element x y z (fractional)
Sc: 0.000 0.000 0.000
Ge: 0.500 0.500 0.500
I: 0.000 0.500 0.000
I: 0.500 0.000 0.000
N: 0.000 0.000 0.500

Output
final energy	-0.324	Ry per atom
polymorph energy (0 for the lowest one)	0	meV per atom
D(E_F)	5.20	states/eV/cell
formation energy without anion corrections	6	kJ per mole of atoms
mass density	4.70	g cm⁻³

No. 6
The following is a PBE-GGA calculation of crystalline Rb2NbTlI6 at its relaxed geometry, from the Alexandria database.

a = 8.765 Å, b = 8.765 Å, c = 8.765 Å
α = 60.00°, β = 60.00°, γ = 60.00°
Element x y z (fractional)
Rb: 0.250 0.250 0.250
Rb: 0.750 0.750 0.750
Nb: 0.000 0.000 0.000
Tl: 0.500 0.500 0.500
I: 0.231 0.231 0.769
I: 0.231 0.769 0.231
I: 0.231 0.769 0.769
I: 0.769 0.231 0.231
I: 0.769 0.231 0.769
I: 0.769 0.769 0.231

Output
final energy	-0.235	Ry per atom
D(E_F)	11.04	states/eV/cell
formation energy without anion corrections	-80	kJ per mole of atoms
mass density	4.29	g cm⁻³

No. 7
The following is a PBE-GGA calculation of crystalline Ta4CrCd at its relaxed geometry, from the Alexandria database.

a = 5.475 Å, b = 5.475 Å, c = 5.475 Å
α = 60.00°, β = 60.00°, γ = 60.00°
Element x y z (fractional)
Ta: 0.376 0.376 0.376
Ta: 0.376 0.376 0.873
Ta: 0.376 0.873 0.376
Ta: 0.873 0.376 0.376
Cr: 0.750 0.750 0.750
Cd: 0.000 0.000 0.000

Output
final energy	-0.667	Ry per atom
energy of formation	0.5809	eV per atom
D(E_F)	5.67	states/eV/cell
mass density	12.71	g cm⁻³

No. 8
The following is a PBE-GGA calculation of crystalline Ca2Ag2Ir at its relaxed geometry, from the Alexandria database.

a = 7.719 Å, b = 7.719 Å, c = 3.938 Å
α = 90.00°, β = 90.00°, γ = 90.00°
Element x y z (fractional)
Ca: 0.171 0.329 0.000
Ca: 0.329 0.829 0.000
Ca: 0.671 0.171 0.000
Ca: 0.829 0.671 0.000
Ag: 0.130 0.630 0.500
Ag: 0.370 0.130 0.500
Ag: 0.630 0.870 0.500
Ag: 0.870 0.370 0.500
Ir: 0.000 0.000 0.000
Ir: 0.500 0.500 0.000

Output
final energy	-0.257	Ry per atom
energy of formation	0.2185	eV per atom
polymorph energy (0 for the lowest one)	295	meV per atom
D(E_F)	7.16	states/eV/cell
mass density	6.91	g cm⁻³

No. 9
The following is a PBE-GGA calculation of crystalline Sm8Co3CBr4 at its relaxed geometry, from the Alexandria database.

a = 8.868 Å, b = 8.868 Å, c = 8.868 Å
α = 52.59°, β = 52.59°, γ = 52.59°
Element x y z (fractional)
Sm: 0.232 0.232 0.232
Sm: 0.240 0.722 0.722
Sm: 0.278 0.278 0.760
Sm: 0.278 0.760 0.278
Sm: 0.722 0.240 0.722
Sm: 0.722 0.722 0.240
Sm: 0.760 0.278 0.278
Sm: 0.768 0.768 0.768
Co: 0.000 0.000 0.500
Co: 0.000 0.500 0.000
Co: 0.500 0.000 0.000
C: 0.500 0.500 0.500
Br: 0.000 0.000 0.000
Br: 0.000 0.500 0.500
Br: 0.500 0.000 0.500
Br: 0.500 0.500 0.000

Output
final energy	-0.399	Ry per atom
D(E_F)	8.45	states/eV/cell
formation energy without anion corrections	-71	kJ per mole of atoms
mass density	6.97	g cm⁻³

No. 10
The following is a PBE-GGA calculation of crystalline PuThPaZn at its relaxed geometry, from the Alexandria database.

a = 5.158 Å, b = 5.158 Å, c = 5.158 Å
α = 60.00°, β = 60.00°, γ = 60.00°
Element x y z (fractional)
Pu: 0.000 0.000 0.000
Th: 0.500 0.500 0.500
Pa: 0.750 0.750 0.750
Zn: 0.250 0.250 0.250

Output
final energy	-0.583	Ry per atom
energy of formation	0.1941	eV per atom
D(E_F)	8.28	states/eV/cell
mass density	13.22	g cm⁻³

No. 11
The following is a PBE-GGA calculation of crystalline Hg3Pb3I at its relaxed geometry, from the Alexandria database.

a = 8.358 Å, b = 8.358 Å, c = 8.358 Å
α = 90.00°, β = 90.00°, γ = 90.00°
Element x y z (fractional)
Hg: 0.000 0.250 0.500
Hg: 0.000 0.750 0.500
Hg: 0.250 0.500 0.000
Hg: 0.500 0.000 0.250
Hg: 0.500 0.000 0.750
Hg: 0.750 0.500 0.000
Pb: 0.000 0.500 0.250
Pb: 0.000 0.500 0.750
Pb: 0.250 0.000 0.500
Pb: 0.500 0.250 0.000
Pb: 0.500 0.750 0.000
Pb: 0.750 0.000 0.500
I: 0.000 0.000 0.000
I: 0.500 0.500 0.500

Output
final energy	-0.123	Ry per atom
D(E_F)	15.59	states/eV/cell
formation energy without anion corrections	26	kJ per mole of atoms
mass density	7.68	g cm⁻³

No. 12
The following is a PBE-GGA calculation of crystalline AlTe3 at its relaxed geometry, from the Alexandria database.

a = 6.411 Å, b = 6.411 Å, c = 6.009 Å
α = 101.87°, β = 101.87°, γ = 33.11°
Element x y z (fractional)
Al: 0.000 0.000 0.000
Te: 0.342 0.342 0.822
Te: 0.500 0.500 0.500
Te: 0.658 0.658 0.178

Output
final energy	-0.240	Ry per atom
D(E_F)	2.57	states/eV/cell
formation energy without anion corrections	2	kJ per mole of atoms
mass density	5.16	g cm⁻³